A relaxed ZnFeReSb crystal. Source: OQMD, functional GGA-PBE.

POSCAR file:
```
ZnFeReSb
1.0
0.0000 3.1062 3.1062
3.1062 0.0000 3.1062
3.1062 3.1062 0.0000
Zn Fe Re Sb
1 1 1 1
direct
0.0000 0.0000 0.0000 Zn
0.7500 0.7500 0.7500 Fe
0.2500 0.2500 0.2500 Re
0.5000 0.5000 0.5000 Sb
```

The value obtained for the distance to the lowest polymorph of the same formula is 0.000 eV/atom. Its magnetization is 1.27 Bohr magnetons per cell.

---

A relaxed ZrFeReSb crystal. Source: OQMD, functional GGA-PBE.

POSCAR file:
```
ZrFeReSb
1.0
0.0000 3.2036 3.2036
3.2036 0.0000 3.2036
3.2036 3.2036 0.0000
Zr Fe Re Sb
1 1 1 1
direct
0.0000 0.0000 0.0000 Zr
0.7500 0.7500 0.7500 Fe
0.2500 0.2500 0.2500 Re
0.5000 0.5000 0.5000 Sb
```

The value obtained for the distance to the lowest polymorph of the same formula is 0.000 eV/atom. Its magnetization is 0.01 Bohr magnetons per cell.

---

A relaxed ScFeReSi crystal. Source: OQMD, functional GGA-PBE.

POSCAR file:
```
ScFeReSi
1.0
0.0000 3.0320 3.0320
3.0320 0.0000 3.0320
3.0320 3.0320 0.0000
Sc Fe Re Si
1 1 1 1
direct
0.0000 0.0000 0.0000 Sc
0.7500 0.7500 0.7500 Fe
0.2500 0.2500 0.2500 Re
0.5000 0.5000 0.5000 Si
```

The value obtained for the distance to the lowest polymorph of the same formula is 0.000 eV/atom. Its magnetization is 1.75 Bohr magnetons per cell.

---

A relaxed ScFeReSn crystal. Source: OQMD, functional GGA-PBE.

POSCAR file:
```
ScFeReSn
1.0
0.0000 3.2037 3.2037
3.2037 0.0000 3.2037
3.2037 3.2037 0.0000
Sc Fe Re Sn
1 1 1 1
direct
0.0000 0.0000 0.0000 Sc
0.7500 0.7500 0.7500 Fe
0.2500 0.2500 0.2500 Re
0.5000 0.5000 0.5000 Sn
```

The value obtained for the distance to the lowest polymorph of the same formula is 0.000 eV/atom. Its magnetization is 1.77 Bohr magnetons per cell.

---

A relaxed ScTlFeRe crystal. Source: OQMD, functional GGA-PBE.

POSCAR file:
```
ScTlFeRe
1.0
0.0000 3.2525 3.2525
3.2525 0.0000 3.2525
3.2525 3.2525 0.0000
Sc Tl Fe Re
1 1 1 1
direct
0.0000 0.0000 0.0000 Sc
0.2500 0.2500 0.2500 Tl
0.5000 0.5000 0.5000 Fe
0.7500 0.7500 0.7500 Re
```

The value obtained for the distance to the lowest polymorph of the same formula is 0.000 eV/atom. Its magnetization is 3.27 Bohr magnetons per cell.

---

A relaxed ScZnFeRe crystal. Source: OQMD, functional GGA-PBE.

POSCAR file:
```
ScZnFeRe
1.0
0.0000 3.0875 3.0875
3.0875 0.0000 3.0875
3.0875 3.0875 0.0000
Sc Zn Fe Re
1 1 1 1
direct
0.0000 0.0000 0.0000 Sc
0.2500 0.2500 0.2500 Zn
0.5000 0.5000 0.5000 Fe
0.7500 0.7500 0.7500 Re
```

The value obtained for the distance to the lowest polymorph of the same formula is 0.000 eV/atom. The formation energy from the elements is 0.181 eV/atom. Its magnetization is 1.91 Bohr magnetons per cell.

---

A relaxed TaFeReSi crystal. Source: OQMD, functional GGA-PBE.

POSCAR file:
```
TaFeReSi
1.0
0.0000 3.0202 3.0202
3.0202 0.0000 3.0202
3.0202 3.0202 0.0000
Ta Fe Re Si
1 1 1 1
direct
0.0000 0.0000 0.0000 Ta
0.7500 0.7500 0.7500 Fe
0.2500 0.2500 0.2500 Re
0.5000 0.5000 0.5000 Si
```

The value obtained for the distance to the lowest polymorph of the same formula is 0.000 eV/atom. Its magnetization is 0.02 Bohr magnetons per cell.

---

A relaxed ZnFeReSi crystal. Source: OQMD, functional GGA-PBE.

POSCAR file:
```
ZnFeReSi
1.0
0.0000 2.9606 2.9606
2.9606 0.0000 2.9606
2.9606 2.9606 0.0000
Zn Fe Re Si
1 1 1 1
direct
0.0000 0.0000 0.0000 Zn
0.5000 0.5000 0.5000 Fe
0.7500 0.7500 0.7500 Re
0.2500 0.2500 0.2500 Si
```

The value obtained for the distance to the lowest polymorph of the same formula is 0.243 eV/atom. Its magnetization is 2.30 Bohr magnetons per cell.